# 1
AlTlAs2 at its PBEsol-relaxed geometry. Source: Alexandria, functional SCAN.

```
AlTlAs2
1.0
3.7601 0.0000 0.0000
0.0000 3.9989 0.0000
0.0000 0.0000 6.1480
Al Tl As
1 1 2
direct
0.0000 0.0000 0.0000
0.0000 0.5000 0.4158
0.5000 0.0000 0.7000
0.5000 0.5000 0.9887
```

Energy of formation from the pure elements   0.128 eV/atom
Fermi-level density of states   1.37 states/eV per cell
Crystal system   orthorhombic

# 2
AlTlAs2 at its PBEsol-relaxed geometry. Source: Alexandria, functional SCAN.

```
AlTlAs2
1.0
5.1786 0.0000 0.0000
0.0000 5.1786 0.0000
0.0000 0.0000 3.0777
Al Tl As
1 1 2
direct
0.0000 0.0000 0.0000
0.5000 0.5000 0.0000
0.0000 0.5000 0.5000
0.5000 0.0000 0.5000
```

Energy of formation from the pure elements   0.356 eV/atom
Fermi-level density of states   1.73 states/eV per cell
Crystal system   tetragonal

# 3
Al2TlAs at its PBEsol-relaxed geometry. Source: Alexandria, functional SCAN.

```
Al2TlAs
1.0
-3.1561 3.1561 5.2395
3.1561 -3.1561 5.2395
3.1561 3.1561 -5.2395
Al Tl As
4 2 2
direct
0.0907 0.6250 0.9657
0.3750 0.3407 0.4657
0.6593 0.1250 0.0343
0.8750 0.9093 0.5343
0.2500 0.7500 0.5000
0.5000 0.5000 0.0000
0.0000 0.0000 0.0000
0.7500 0.2500 0.5000
```

Energy of formation from the pure elements   0.049 eV/atom
Fermi-level density of states   1.47 states/eV per cell
Crystal system   tetragonal

# 4
Al2TlAs at its PBEsol-relaxed geometry. Source: Alexandria, functional SCAN.

```
Al2TlAs
1.0
1.8456 1.0656 7.1528
-1.8456 1.0656 7.1528
0.0000 -2.1311 7.1528
Al Tl As
2 1 1
direct
0.2351 0.2351 0.2351
0.7649 0.7649 0.7649
0.0000 0.0000 0.0000
0.5000 0.5000 0.5000
```

Energy of formation from the pure elements   -0.025 eV/atom
Fermi-level density of states   1.09 states/eV per cell
Crystal system   trigonal

# 5
AlTlAs2 at its PBEsol-relaxed geometry. Source: Alexandria, functional SCAN.

```
AlTlAs2
1.0
-1.6249 2.5358 5.0015
1.6249 -2.5358 5.0015
1.6249 2.5358 -5.0015
Al Tl As
1 1 2
direct
0.0000 0.0000 0.0000
0.5000 0.5000 0.0000
0.2082 0.7082 0.5000
0.7918 0.2918 0.5000
```

Energy of formation from the pure elements   0.251 eV/atom
Fermi-level density of states   1.69 states/eV per cell
Crystal system   orthorhombic

# 6
Al2TlAs2 at its PBEsol-relaxed geometry. Source: Alexandria, functional SCAN.

```
Al2TlAs2
1.0
-2.0308 2.0308 6.7947
2.0308 -2.0308 6.7947
2.0308 2.0308 -6.7947
Al Tl As
2 1 2
direct
0.2500 0.7500 0.5000
0.7500 0.2500 0.5000
0.0000 0.0000 0.0000
0.3648 0.3648 0.0000
0.6352 0.6352 0.0000
```

Energy of formation from the pure elements   -0.172 eV/atom
Fermi-level density of states   1.93 states/eV per cell
Crystal system   tetragonal

# 7
AlTlAs2 at its PBEsol-relaxed geometry. Source: Alexandria, functional SCAN.

```
AlTlAs2
1.0
-2.9709 2.9709 5.9200
2.9709 -2.9709 5.9200
2.9709 2.9709 -5.9200
Al Tl As
2 2 4
direct
0.0000 0.0000 0.0000
0.7500 0.2500 0.5000
0.2500 0.7500 0.5000
0.5000 0.5000 0.0000
0.0921 0.6250 0.9671
0.3750 0.3421 0.4671
0.6579 0.1250 0.0329
0.8750 0.9079 0.5329
```

Energy of formation from the pure elements   -0.241 eV/atom
Fermi-level density of states   0.09 states/eV per cell
Crystal system   tetragonal

# 8
Al2TlAs at its PBEsol-relaxed geometry. Source: Alexandria, functional SCAN.

```
Al2TlAs
1.0
4.2408 -1.8387 0.0000
4.2408 1.8387 0.0000
-1.7422 0.0000 5.6257
Al Tl As
2 1 1
direct
0.0000 0.0000 0.0000
0.7489 0.7489 0.2003
0.5153 0.5153 0.4898
0.2729 0.2729 0.8645
```

Energy of formation from the pure elements   0.141 eV/atom
Fermi-level density of states   1.82 states/eV per cell
Crystal system   monoclinic

# 9
Al2TlAs at its PBEsol-relaxed geometry. Source: Alexandria, functional SCAN.

```
Al2TlAs
1.0
-2.3278 2.3278 3.7147
2.3278 -2.3278 3.7147
2.3278 2.3278 -3.7147
Al Tl As
2 1 1
direct
0.2500 0.7500 0.5000
0.7500 0.2500 0.5000
0.0000 0.0000 0.0000
0.5000 0.5000 0.0000
```

Energy of formation from the pure elements   0.296 eV/atom
Fermi-level density of states   2.10 states/eV per cell
Crystal system   tetragonal

# 10
AlAsW at its PBEsol-relaxed geometry. Source: Alexandria, functional SCAN.

```
AlAsW
1.0
-1.6401 1.6401 4.1369
1.6401 -1.6401 4.1369
1.6401 1.6401 -4.1369
Al As W
1 1 1
direct
0.0000 0.0000 0.0000
0.6752 0.6752 0.0000
0.3267 0.3267 0.0000
```

Energy of formation from the pure elements   -0.131 eV/atom
Fermi-level density of states   0.29 states/eV per cell
Crystal system   tetragonal

# 11
AlAsW2 at its PBEsol-relaxed geometry. Source: Alexandria, functional SCAN.

```
AlAsW2
1.0
3.2250 0.0000 0.0000
0.0000 4.1882 0.0000
0.0000 0.0000 4.5281
Al As W
1 1 2
direct
0.0000 0.0000 0.0000
0.5000 0.0000 0.5000
0.0000 0.5000 0.5000
0.5000 0.5000 0.0000
```

Energy of formation from the pure elements   0.329 eV/atom
Fermi-level density of states   2.27 states/eV per cell
Crystal system   orthorhombic

# 12
AlAsW2 at its PBEsol-relaxed geometry. Source: Alexandria, functional SCAN.

```
AlAsW2
1.0
3.2193 0.0000 0.0000
0.0000 3.2193 0.0000
0.0000 0.0000 5.8037
Al As W
1 1 2
direct
0.0000 0.0000 0.0000
0.5000 0.5000 0.2658
0.0000 0.0000 0.4911
0.5000 0.5000 0.7675
```

Energy of formation from the pure elements   -0.047 eV/atom
Fermi-level density of states   1.00 states/eV per cell
Crystal system   tetragonal

# 13
AlAsW2 at its PBEsol-relaxed geometry. Source: Alexandria, functional SCAN.

```
AlAsW2
1.0
4.4698 -1.5392 0.0000
4.4698 1.5392 0.0000
-0.5221 0.0000 4.5169
Al As W
1 1 2
direct
0.0000 0.0000 0.0000
0.5000 0.5000 0.5000
0.2508 0.2508 0.7518
0.7492 0.7492 0.2482
```

Energy of formation from the pure elements   0.249 eV/atom
Fermi-level density of states   2.10 states/eV per cell
Crystal system   monoclinic

# 14
Al2AsW at its PBEsol-relaxed geometry. Source: Alexandria, functional SCAN.

```
Al2AsW
1.0
0.0000 3.1478 3.1478
3.1478 0.0000 3.1478
3.1478 3.1478 0.0000
Al As W
2 1 1
direct
0.0000 0.0000 0.0000
0.2500 0.2500 0.2500
0.7500 0.7500 0.7500
0.5000 0.5000 0.5000
```

Energy of formation from the pure elements   0.422 eV/atom
Fermi-level density of states   2.75 states/eV per cell
Crystal system   cubic

# 15
AlAsW2 at its PBEsol-relaxed geometry. Source: Alexandria, functional SCAN.

```
AlAsW2
1.0
4.4998 -1.5407 0.0000
4.4998 1.5407 0.0000
-1.2640 0.0000 4.3472
Al As W
1 1 2
direct
0.0000 0.0000 0.0000
0.2486 0.2486 0.6809
0.5065 0.5065 0.5066
0.7464 0.7464 0.1769
```

Energy of formation from the pure elements   0.199 eV/atom
Fermi-level density of states   2.32 states/eV per cell
Crystal system   monoclinic